First-principles (GGA-PBE) data for a relaxed structure of SrNi, as listed in Alexandria.

Properties
Crystal system   orthorhombic
Formation enthalpy at 0 K   0.29 eV per atom
Spin magnetization   0.000 μB/atom

Structure (POSCAR):
```
SrNi
1.0
0.000 4.483 7.282
3.021 0.000 7.282
3.021 4.483 0.000
Sr Ni
4 4
Direct
0.054 0.696 0.054
0.304 0.946 0.304
0.696 0.054 0.696
0.946 0.304 0.946
0.296 0.296 0.454
0.454 0.454 0.296
0.546 0.546 0.704
0.704 0.704 0.546
```


First-principles (GGA-PBE) data for a relaxed structure of SrNi3, as listed in Alexandria.

Properties
Crystal system   hexagonal
Formation enthalpy at 0 K   -0.06 eV per atom
Spin magnetization   0.000 μB/atom

Structure (POSCAR):
```
SrNi3
1.0
4.077 0.000 0.000
-2.038 3.530 0.000
0.000 0.000 10.248
Sr Ni
2 6
Direct
0.333 0.667 0.250
0.667 0.333 0.750
0.000 0.000 0.000
0.000 0.000 0.500
0.333 0.667 0.529
0.333 0.667 0.971
0.667 0.333 0.029
0.667 0.333 0.471
```


First-principles (GGA-PBE) data for a relaxed structure of SrTaNi4, as listed in Alexandria.

Properties
Crystal system   cubic
Formation enthalpy at 0 K   0.19 eV per atom
Spin magnetization   0.000 μB/atom

Structure (POSCAR):
```
SrTaNi4
1.0
0.000 3.538 3.538
3.538 0.000 3.538
3.538 3.538 0.000
Sr Ta Ni
1 1 4
Direct
0.000 0.000 0.000
0.750 0.750 0.750
0.376 0.376 0.376
0.376 0.376 0.872
0.376 0.872 0.376
0.872 0.376 0.376
```


First-principles (GGA-PBE) data for a relaxed structure of SrTa2Ni, as listed in Alexandria.

Properties
Crystal system   orthorhombic
Formation enthalpy at 0 K   0.56 eV per atom
Spin magnetization   0.001 μB/atom

Structure (POSCAR):
```
SrTa2Ni
1.0
2.064 -2.085 0.000
2.064 2.085 0.000
0.000 0.000 9.315
Sr Ta Ni
1 2 1
Direct
0.000 0.000 0.000
0.500 0.500 0.319
0.500 0.500 0.681
0.000 0.000 0.500
```


First-principles (GGA-PBE) data for a relaxed structure of Sr2TaNi, as listed in Alexandria.

Properties
Crystal system   tetragonal
Formation enthalpy at 0 K   0.77 eV per atom
Spin magnetization   0.480 μB/atom

Structure (POSCAR):
```
Sr2TaNi
1.0
-5.598 5.598 2.332
5.598 -5.598 2.332
5.598 5.598 -2.332
Sr Ta Ni
4 2 2
Direct
0.375 0.210 0.335
0.790 0.125 0.165
0.875 0.040 0.665
0.960 0.625 0.835
0.250 0.750 0.500
0.500 0.500 0.000
0.000 0.000 0.000
0.750 0.250 0.500
```


First-principles (GGA-PBE) data for a relaxed structure of SrTa2Ni, as listed in Alexandria.

Properties
Crystal system   tetragonal
Formation enthalpy at 0 K   0.87 eV per atom
Spin magnetization   0.000 μB/atom

Structure (POSCAR):
```
SrTa2Ni
1.0
3.941 0.000 0.000
0.000 3.941 0.000
0.000 0.000 5.309
Sr Ta Ni
1 2 1
Direct
0.000 0.000 0.000
0.000 0.500 0.500
0.500 0.000 0.500
0.500 0.500 0.000
```


First-principles (GGA-PBE) data for a relaxed structure of SrTa2Ni, as listed in Alexandria.

Properties
Crystal system   tetragonal
Formation enthalpy at 0 K   1.09 eV per atom
Spin magnetization   0.000 μB/atom

Structure (POSCAR):
```
SrTa2Ni
1.0
-2.555 2.555 8.527
2.555 -2.555 8.527
2.555 2.555 -8.527
Sr Ta Ni
2 4 2
Direct
0.375 0.625 0.750
0.625 0.375 0.250
0.000 0.000 0.000
0.000 0.000 0.500
0.000 0.500 0.000
0.500 0.000 0.500
0.125 0.875 0.250
0.875 0.125 0.750
```


First-principles (GGA-PBE) data for a relaxed structure of SrTaNi, as listed in Alexandria.

Properties
Crystal system   tetragonal
Formation enthalpy at 0 K   0.32 eV per atom
Spin magnetization   0.000 μB/atom

Structure (POSCAR):
```
SrTaNi
1.0
-1.660 1.660 6.123
1.660 -1.660 6.123
1.660 1.660 -6.123
Sr Ta Ni
1 1 1
Direct
0.000 0.000 0.000
0.726 0.726 0.000
0.298 0.298 0.000
```